Run one
Ti4Tc | GGA-PBE | relaxed

Properties
Its total magnetization is 0.0742 μB per atom. As for the crystal system: cubic. The space group is Pm-3m (221).

Unit cell a=4.665 b=4.665 c=4.665 alpha=90.00 beta=90.00 gamma=90.00
Element x y z (fractional)
1 Tc 0.500 0.500 0.500
2 Ti 0.500 0.000 0.500
3 Ti 0.500 0.500 0.000
4 Ti 0.000 0.500 0.500
5 Ti 0.000 0.000 0.000

=====

Run two
Ti4Tc | GGA-PBE | relaxed

Properties
Its total magnetization is 0.0000 μB per atom. As for the crystal system: tetragonal. The space group is I4/m (87).

Unit cell a=3.121 b=5.354 c=5.354 alpha=85.13 beta=73.05 gamma=73.05
Element x y z (fractional)
1 Ti 0.780 0.131 0.308
2 Ti 0.588 0.692 0.131
3 Ti 0.220 0.869 0.692
4 Ti 0.412 0.308 0.869
5 Tc 0.000 0.500 0.500

=====

Quick look at relative energies in kJ/mol of atoms: run one 77.7; run two 0.0.

=====

Run one
TiTc2 | GGA-PBE | relaxed

Properties
Its total magnetization is 0.0000 μB per atom. As for the crystal system: cubic. The space group is Fd-3m (227).

Unit cell a=5.134 b=5.134 c=5.134 alpha=60.00 beta=60.00 gamma=60.00
Element x y z (fractional)
1 Tc 0.625 0.625 0.625
2 Tc 0.125 0.625 0.625
3 Tc 0.625 0.125 0.625
4 Tc 0.625 0.625 0.125
5 Ti 0.000 0.000 0.000
6 Ti 0.250 0.250 0.250

=====

Run two
TiTc2 | GGA-PBE | relaxed

Properties
Its total magnetization is 0.0000 μB per atom. As for the crystal system: tetragonal. The space group is I4/mmm (139).

Unit cell a=3.091 b=3.091 c=5.156 alpha=107.45 beta=107.45 gamma=90.00
Element x y z (fractional)
1 Tc 0.667 0.667 0.335
2 Tc 0.333 0.333 0.665
3 Ti 0.000 0.000 0.000

=====

Quick look at relative energies in kJ/mol of atoms: run one 18.7; run two 0.0.

=====

Run one
UTiTc | GGA-PBE | relaxed

Properties
Its total magnetization is 0.1651 μB per atom. As for the crystal system: tetragonal. The space group is P4/nmm (129).

Unit cell a=3.699 b=3.699 c=7.840 alpha=90.00 beta=90.00 gamma=90.00
Element x y z (fractional)
1 Ti 0.000 0.500 0.149
2 Ti 0.500 0.000 0.851
3 Tc 0.500 0.000 0.188
4 Tc 0.000 0.500 0.812
5 U 0.000 0.000 0.500
6 U 0.500 0.500 0.500

=====

Run two
UTiTc | GGA-PBE | relaxed

Properties
Its total magnetization is 0.1890 μB per atom. As for the crystal system: trigonal. The space group is P3m1 (156).

Unit cell a=2.860 b=4.535 c=4.535 alpha=120.00 beta=90.00 gamma=90.00
Element x y z (fractional)
1 U 0.985 0.000 0.000
2 Tc 0.707 0.667 0.333
3 Ti 0.308 0.333 0.667

=====

Quick look at relative energies in kJ/mol of atoms: run one 28.9; run two 0.0.

=====

Run one
TiVTc3 | GGA-PBE | relaxed

Properties
Its total magnetization is 0.0941 μB per atom. As for the crystal system: cubic. The space group is Pm-3m (221).

Unit cell a=4.465 b=4.465 c=4.465 alpha=90.00 beta=90.00 gamma=90.00
Element x y z (fractional)
1 Ti 0.000 0.000 0.000
2 Tc 0.000 0.000 0.500
3 Tc 0.000 0.500 0.000
4 Tc 0.500 0.000 0.000
5 V 0.500 0.500 0.500

=====

Run two
TiVTc3 | GGA-PBE | relaxed

Properties
Its total magnetization is 0.0000 μB per atom. As for the crystal system: cubic. The space group is Pm-3m (221).

Unit cell a=4.433 b=4.433 c=4.433 alpha=90.00 beta=90.00 gamma=90.00
Element x y z (fractional)
1 Tc 0.500 0.000 0.000
2 Tc 0.000 0.500 0.000
3 Tc 0.000 0.000 0.500
4 V 0.000 0.000 0.000
5 Ti 0.500 0.500 0.500

=====

Quick look at relative energies in kJ/mol of atoms: run one 44.3; run two 0.0.

=====

Run one
Ti2VTc2 | GGA-PBE | relaxed

Properties
Its total magnetization is 0.0002 μB per atom. As for the crystal system: tetragonal. The space group is P4/mbm (127).

Unit cell a=6.940 b=6.940 c=3.269 alpha=90.00 beta=90.00 gamma=90.00
Element x y z (fractional)
1 Ti 0.342 0.158 0.500
2 Ti 0.842 0.342 0.500
3 Ti 0.158 0.658 0.500
4 Ti 0.658 0.842 0.500
5 Tc 0.650 0.150 0.000
6 Tc 0.150 0.350 0.000
7 Tc 0.850 0.650 0.000
8 Tc 0.350 0.850 0.000
9 V 0.500 0.500 0.000
10 V 0.000 0.000 0.000

=====

Run two
Ti2VTc2 | GGA-PBE | relaxed

Properties
Its total magnetization is 0.4576 μB per atom. As for the crystal system: tetragonal. The space group is P4/mbm (127).

Unit cell a=7.220 b=7.220 c=3.020 alpha=90.00 beta=90.00 gamma=90.00
Element x y z (fractional)
1 Ti 0.642 0.142 0.000
2 Ti 0.858 0.642 0.000
3 Ti 0.358 0.858 0.000
4 Ti 0.142 0.358 0.000
5 V 0.000 0.000 0.000
6 V 0.500 0.500 0.000
7 Tc 0.837 0.337 0.500
8 Tc 0.163 0.663 0.500
9 Tc 0.663 0.837 0.500
10 Tc 0.337 0.163 0.500

=====

Quick look at relative energies in kJ/mol of atoms: run one 0.0; run two 7.2.

=====

Run one
TiV2Tc2 | GGA-PBE | relaxed

Properties
Its total magnetization is 0.2253 μB per atom. As for the crystal system: tetragonal. The space group is P4/mbm (127).

Unit cell a=7.231 b=7.231 c=2.872 alpha=90.00 beta=90.00 gamma=90.00
Element x y z (fractional)
1 Tc 0.842 0.342 0.500
2 Tc 0.342 0.158 0.500
3 Tc 0.658 0.842 0.500
4 Tc 0.158 0.658 0.500
5 V 0.855 0.645 0.000
6 V 0.145 0.355 0.000
7 V 0.355 0.855 0.000
8 V 0.645 0.145 0.000
9 Ti 0.500 0.500 0.000
10 Ti 0.000 0.000 0.000

=====

Run two
TiV2Tc2 | GGA-PBE | relaxed

Properties
Its total magnetization is 0.0000 μB per atom. As for the crystal system: monoclinic. The space group is C2/m (12).

Unit cell a=4.184 b=5.512 c=6.770 alpha=104.72 beta=108.00 gamma=90.00
Element x y z (fractional)
1 Ti 0.000 0.250 0.000
2 Ti 0.000 0.750 0.000
3 Tc 0.394 0.848 0.788
4 Tc 0.606 0.152 0.212
5 Tc 0.394 0.348 0.788
6 Tc 0.606 0.652 0.212
7 V 0.200 0.559 0.400
8 V 0.200 0.059 0.400
9 V 0.800 0.941 0.600
10 V 0.800 0.441 0.600

=====

Quick look at relative energies in kJ/mol of atoms: run one 33.8; run two 0.0.

=====

Run one
TiVTc2 | GGA-PBE | relaxed

Properties
Its total magnetization is 0.0000 μB per atom. As for the crystal system: tetragonal. The space group is P4/mmm (123).

Unit cell a=3.061 b=3.061 c=6.146 alpha=90.00 beta=90.00 gamma=90.00
Element x y z (fractional)
1 Tc 0.000 0.000 0.758
2 Tc 0.000 0.000 0.242
3 V 0.500 0.500 0.000
4 Ti 0.500 0.500 0.500

=====

Run two
TiVTc2 | GGA-PBE | relaxed

Properties
Its total magnetization is 0.0000 μB per atom. As for the crystal system: tetragonal. The space group is I-42d (122).

Unit cell a=6.797 b=6.797 c=5.504 alpha=51.87 beta=51.87 gamma=90.00
Element x y z (fractional)
1 Tc 0.375 0.359 0.750
2 Tc 0.641 0.125 0.250
3 Tc 0.109 0.625 0.250
4 Tc 0.875 0.891 0.750
5 Ti 0.500 0.500 0.000
6 Ti 0.250 0.750 0.500
7 V 0.750 0.250 0.500
8 V 0.000 0.000 0.000

=====

Quick look at relative energies in kJ/mol of atoms: run one 0.0; run two 72.0.

=====

Run one
Ti2V4Tc | GGA-PBE | relaxed

Properties
Its total magnetization is 0.4601 μB per atom. As for the crystal system: tetragonal. The space group is I4/mmm (139).

Unit cell a=4.453 b=4.453 c=7.074 alpha=71.65 beta=71.65 gamma=90.00
Element x y z (fractional)
1 Tc 0.000 0.000 0.000
2 V 0.191 0.191 0.617
3 V 0.809 0.809 0.383
4 V 0.000 0.500 0.000
5 V 0.500 0.000 0.000
6 Ti 0.371 0.371 0.258
7 Ti 0.629 0.629 0.742

=====

Run two
Ti2V4Tc | GGA-PBE | relaxed

Properties
Its total magnetization is 0.0003 μB per atom. As for the crystal system: orthorhombic. The space group is Cmmm (65).

Unit cell a=2.498 b=4.587 c=9.242 alpha=104.37 beta=90.00 gamma=90.00
Element x y z (fractional)
1 V 0.500 0.930 0.860
2 V 0.000 0.787 0.575
3 V 0.000 0.213 0.425
4 V 0.500 0.070 0.140
5 Tc 0.000 0.500 0.000
6 Ti 0.500 0.645 0.290
7 Ti 0.500 0.355 0.710

=====

Run three
Ti2V4Tc | GGA-PBE | relaxed

Properties
Its total magnetization is 0.0000 μB per atom. As for the crystal system: triclinic. The space group is P-1 (2).

Unit cell a=2.689 b=6.726 c=6.716 alpha=62.71 beta=79.07 gamma=97.31
Element x y z (fractional)
1 Ti 0.358 0.846 0.726
2 Ti 0.642 0.154 0.274
3 V 0.432 0.421 0.854
4 V 0.568 0.579 0.146
5 V 0.979 0.706 0.431
6 V 0.021 0.294 0.569
7 Tc 0.000 0.000 0.000

=====

Quick look at relative energies in kJ/mol of atoms: run one 93.4; run two 11.0; run three 0.0.

=====

Run one
TiV3Tc | GGA-PBE | relaxed

Properties
Its total magnetization is 0.0008 μB per atom. As for the crystal system: cubic. The space group is Pm-3m (221).

Unit cell a=4.305 b=4.305 c=4.305 alpha=90.00 beta=90.00 gamma=90.00
Element x y z (fractional)
1 Ti 0.000 0.000 0.000
2 Tc 0.500 0.500 0.500
3 V 0.000 0.500 0.000
4 V 0.500 0.000 0.000
5 V 0.000 0.000 0.500

=====

Run two
TiV3Tc | GGA-PBE | relaxed

Properties
Its total magnetization is 0.3373 μB per atom. As for the crystal system: cubic. The space group is Pm-3m (221).

Unit cell a=4.507 b=4.507 c=4.507 alpha=90.00 beta=90.00 gamma=90.00
Element x y z (fractional)
1 Ti 0.500 0.500 0.500
2 Tc 0.000 0.000 0.000
3 V 0.000 0.000 0.500
4 V 0.500 0.000 0.000
5 V 0.000 0.500 0.000

=====

Run three
TiV3Tc | GGA-PBE | relaxed

Properties
Its total magnetization is 0.0000 μB per atom. As for the crystal system: monoclinic. The space group is C2/m (12).

Unit cell a=2.978 b=6.904 c=7.876 alpha=109.52 beta=100.90 gamma=90.00
Element x y z (fractional)
1 Tc 0.411 0.550 0.822
2 Tc 0.589 0.450 0.178
3 V 0.311 0.096 0.622
4 V 0.054 0.721 0.109
5 V 0.946 0.279 0.891
6 V 0.689 0.904 0.378
7 V 0.772 0.372 0.544
8 V 0.228 0.628 0.456
9 Ti 0.118 0.160 0.236
10 Ti 0.882 0.840 0.764

=====

Quick look at relative energies in kJ/mol of atoms: run one 129.4; run two 96.8; run three 0.0.

=====

Run one
Ti2VTc4 | GGA-PBE | relaxed

Properties
Its total magnetization is 0.0013 μB per atom. As for the crystal system: tetragonal. The space group is I4/mmm (139).

Unit cell a=4.410 b=4.410 c=7.022 alpha=71.70 beta=71.70 gamma=90.00
Element x y z (fractional)
1 Ti 0.369 0.369 0.261
2 Ti 0.631 0.631 0.739
3 Tc 0.183 0.183 0.634
4 Tc 0.000 0.500 0.000
5 Tc 0.500 0.000 0.000
6 Tc 0.817 0.817 0.366
7 V 0.000 0.000 0.000

=====

Run two
Ti2VTc4 | GGA-PBE | relaxed

Properties
Its total magnetization is 0.0003 μB per atom. As for the crystal system: tetragonal. The space group is I4/mmm (139).

Unit cell a=5.229 b=5.229 c=5.229 alpha=108.55 beta=109.93 gamma=109.93
Element x y z (fractional)
1 Ti 0.500 0.000 0.500
2 Ti 0.500 0.500 0.000
3 Tc 0.000 0.500 0.000
4 Tc 0.500 0.500 0.500
5 Tc 0.500 0.000 0.000
6 Tc 0.000 0.000 0.500
7 V 0.000 0.000 0.000

=====

Quick look at relative energies in kJ/mol of atoms: run one 58.4; run two 0.0.

=====

Run one
TiV2Tc4 | GGA-PBE | relaxed

Properties
Its total magnetization is 0.1202 μB per atom. As for the crystal system: tetragonal. The space group is I4/mmm (139).

Unit cell a=4.444 b=4.444 c=6.880 alpha=71.16 beta=71.16 gamma=90.00
Element x y z (fractional)
1 V 0.626 0.626 0.748
2 V 0.374 0.374 0.252
3 Tc 0.500 0.000 0.000
4 Tc 0.000 0.500 0.000
5 Tc 0.802 0.802 0.395
6 Tc 0.198 0.198 0.605
7 Ti 0.000 0.000 0.000

=====

Run two
TiV2Tc4 | GGA-PBE | relaxed

Properties
Its total magnetization is 0.0006 μB per atom. As for the crystal system: tetragonal. The space group is I4/mmm (139).

Unit cell a=5.191 b=5.191 c=5.191 alpha=110.72 beta=108.85 gamma=108.85
Element x y z (fractional)
1 V 0.500 0.000 0.500
2 V 0.500 0.500 0.000
3 Tc 0.000 0.000 0.500
4 Tc 0.500 0.000 0.000
5 Tc 0.500 0.500 0.500
6 Tc 0.000 0.500 0.000
7 Ti 0.000 0.000 0.000

=====

Quick look at relative energies in kJ/mol of atoms: run one 84.0; run two 0.0.

=====

Run one
TiTc3W2 | GGA-PBE | relaxed

Properties
Its total magnetization is 0.0000 μB per atom. As for the crystal system: tetragonal. The space group is P4/mmm (123).

Unit cell a=3.117 b=3.117 c=9.418 alpha=90.00 beta=90.00 gamma=90.00
Element x y z (fractional)
1 Tc 0.000 0.000 0.333
2 Tc 0.000 0.000 0.667
3 Tc 0.000 0.000 0.000
4 W 0.500 0.500 0.828
5 W 0.500 0.500 0.172
6 Ti 0.500 0.500 0.500

=====

Run two
TiTc3W2 | GGA-PBE | relaxed

Properties
Its total magnetization is 0.0000 μB per atom. As for the crystal system: orthorhombic. The space group is Cmmm (65).

Unit cell a=3.115 b=4.426 c=6.994 alpha=108.45 beta=90.00 gamma=90.00
Element x y z (fractional)
1 W 0.000 0.666 0.332
2 W 0.000 0.334 0.668
3 Tc 0.500 0.833 0.666
4 Tc 0.500 0.500 0.000
5 Tc 0.500 0.167 0.334
6 Ti 0.000 0.000 0.000

=====

Quick look at relative energies in kJ/mol of atoms: run one 0.8; run two 0.0.